a | 4
Lattice="1.7686 1.0211 6.4378 -1.7686 1.0211 6.4378 0.0000 -2.0422 6.4378" Properties=species:S:1:pos:R:3 comment="PBE TlPRu2, relaxed" crystal_system=trigonal magmom_total_mub_per_atom=0.000 spacegroup="R-3m (166)" pbc="T T T"
Tl 0.0000 0.0000 0.0000
P 0.0000 0.0000 9.6567
Ru 0.0000 0.0000 4.2722
Ru 0.0000 0.0000 15.0412

***

b | 4
Lattice="4.0030 -1.5026 0.0000 4.0030 1.5026 0.0000 -0.9111 0.0000 6.1060" Properties=species:S:1:pos:R:3 comment="PBE TlPRu2, relaxed" crystal_system=monoclinic magmom_total_mub_per_atom=0.000 spacegroup="Cm (8)" pbc="T T T"
Tl 0.0000 0.0000 0.0000
P 1.0698 0.0000 3.4000
Ru 3.3523 0.0000 3.5832
Ru 5.8157 0.0000 1.8431

***

c | 4
Lattice="2.9635 0.0000 0.0000 0.0000 2.9635 0.0000 0.0000 0.0000 7.0029" Properties=species:S:1:pos:R:3 comment="PBE TlPRu2, relaxed" crystal_system=tetragonal magmom_total_mub_per_atom=0.000 spacegroup="P4/mmm (123)" pbc="T T T"
Tl 0.0000 0.0000 0.0000
P 0.0000 0.0000 3.5015
Ru 1.4817 1.4817 2.1425
Ru 1.4817 1.4817 4.8604

***

Short version: a is the most stable of them.

***

a | 4
Lattice="-1.5148 1.5499 7.0874 1.5148 -1.5499 7.0874 1.5148 1.5499 -7.0874" Properties=species:S:1:pos:R:3 comment="PBE TlPRu2, relaxed" crystal_system=orthorhombic magmom_total_mub_per_atom=0.000 spacegroup="Imm2 (44)" pbc="T T T"
Tl 0.0000 0.0000 0.0000
P 0.0000 1.5499 3.4578
Ru 1.5148 0.0000 2.4706
Ru 0.0000 0.0000 5.1227

***

b | 4
Lattice="-1.6843 2.6314 3.8328 1.6843 -2.6314 3.8328 1.6843 2.6314 -3.8328" Properties=species:S:1:pos:R:3 comment="PBE TlPRu2, relaxed" crystal_system=orthorhombic magmom_total_mub_per_atom=0.041 spacegroup="Immm (71)" pbc="T T T"
Tl 0.0000 0.0000 0.0000
P 0.0000 0.0000 3.8328
Ru 1.6843 0.0000 2.3489
Ru 0.0000 2.6314 1.4839

***

Short version: a is the most stable of them.

***

a | 8
Lattice="-3.4598 3.4598 2.8912 3.4598 -3.4598 2.8912 3.4598 3.4598 -2.8912" Properties=species:S:1:pos:R:3 comment="PBE TlPRu2, relaxed" crystal_system=tetragonal magmom_total_mub_per_atom=0.000 spacegroup="I-42d (122)" pbc="T T T"
Tl 0.0000 0.0000 0.0000
Tl 0.0000 3.4598 1.4456
P 3.4598 0.0000 1.4456
P 0.0000 0.0000 2.8912
Ru 1.7299 -1.1888 2.1684
Ru 2.2710 1.7299 0.7228
Ru 1.7299 4.6486 -0.7228
Ru 1.1888 1.7299 3.6140

***

b | 4
Lattice="1.9803 -2.2227 0.0000 1.9803 2.2227 0.0000 0.0000 0.0000 7.0260" Properties=species:S:1:pos:R:3 comment="PBE TlPRu2, relaxed" crystal_system=orthorhombic magmom_total_mub_per_atom=0.000 spacegroup="Cmmm (65)" pbc="T T T"
Tl 0.0000 0.0000 0.0000
P 0.0000 0.0000 3.5130
Ru 1.9803 0.0000 2.1509
Ru 1.9803 0.0000 4.8750

***

c | 4
Lattice="-1.8870 1.8870 4.5590 1.8870 -1.8870 4.5590 1.8870 1.8870 -4.5590" Properties=species:S:1:pos:R:3 comment="PBE TlPRu2, relaxed" crystal_system=tetragonal magmom_total_mub_per_atom=0.252 spacegroup="I-4m2 (119)" pbc="T T T"
Tl 0.0000 0.0000 0.0000
P 1.8870 0.0000 2.2795
Ru 0.0000 0.0000 4.5590
Ru 0.0000 1.8870 2.2795

***

Short version: b is the most stable of them.

***

a | 4
Lattice="0.0000 3.1453 3.1453 3.1453 0.0000 3.1453 3.1453 3.1453 0.0000" Properties=species:S:1:pos:R:3 comment="PBE TlPRu2, relaxed" crystal_system=cubic magmom_total_mub_per_atom=0.000 spacegroup="Fm-3m (225)" pbc="T T T"
Tl 0.0000 0.0000 0.0000
P 3.1453 3.1453 3.1453
Ru 1.5727 1.5727 1.5727
Ru 4.7180 4.7180 4.7180

***

b | 4
Lattice="3.1065 0.0000 0.0000 0.0000 4.5179 0.0000 -0.0141 0.0000 4.9884" Properties=species:S:1:pos:R:3 comment="PBE TlPRu2, relaxed" crystal_system=monoclinic magmom_total_mub_per_atom=0.000 spacegroup="Pm (6)" pbc="T T T"
Tl 0.0000 0.0000 0.0000
P 1.5507 2.2590 1.7188
Ru -0.0022 2.2590 3.3484
Ru 1.5507 0.0000 2.4699

***

Short version: b is the most stable of them.

***

a | 4
Lattice="1.5122 0.8731 8.6108 -1.5122 0.8731 8.6108 0.0000 -1.7462 8.6108" Properties=species:S:1:pos:R:3 comment="PBE TlPRu2, relaxed" crystal_system=trigonal magmom_total_mub_per_atom=0.233 spacegroup="R3m (160)" pbc="T T T"
Tl 0.0000 0.0000 0.0000
P 0.0000 0.0000 19.8191
Ru 0.0000 0.0000 6.3030
Ru 0.0000 0.0000 12.7356

***

b | 4
Lattice="4.4329 0.0000 0.0000 0.0000 4.4329 0.0000 0.0000 0.0000 3.1779" Properties=species:S:1:pos:R:3 comment="PBE TlPRu2, relaxed" crystal_system=tetragonal magmom_total_mub_per_atom=0.000 spacegroup="P4/mmm (123)" pbc="T T T"
Tl 0.0000 0.0000 0.0000
P 2.2165 2.2165 0.0000
Ru 0.0000 2.2165 1.5890
Ru 2.2165 0.0000 1.5890

***

Short version: a is the most stable of them.

***

a | 4
Lattice="3.0098 -4.1643 0.0000 3.0098 4.1643 0.0000 -1.4661 0.0000 2.6583" Properties=species:S:1:pos:R:3 comment="PBE TlPRu2, relaxed" crystal_system=monoclinic magmom_total_mub_per_atom=0.000 spacegroup="C2/m (12)" pbc="T T T"
Tl 0.0000 0.0000 0.0000
P 3.0098 0.0000 0.0000
Ru 0.7718 2.0821 1.3291
Ru 0.7718 -2.0821 1.3291

***

b | 4
Lattice="2.9655 0.0000 0.0000 0.0000 3.5051 0.0000 -1.0421 0.0000 6.5086" Properties=species:S:1:pos:R:3 comment="PBE TlPRu2, relaxed" crystal_system=monoclinic magmom_total_mub_per_atom=0.000 spacegroup="P2/m (10)" pbc="T T T"
Tl 0.0000 0.0000 0.0000
P 0.9617 0.0000 3.2543
Ru 0.2196 1.7526 4.4415
Ru 1.7038 1.7526 2.0671

***

c | 4
Lattice="0.0000 3.2016 3.2016 3.2016 0.0000 3.2016 3.2016 3.2016 0.0000" Properties=species:S:1:pos:R:3 comment="PBE TlPRu2, relaxed" crystal_system=cubic magmom_total_mub_per_atom=0.317 spacegroup="F-43m (216)" pbc="T T T"
Tl 0.0000 0.0000 0.0000
P 1.6008 1.6008 1.6008
Ru 3.2016 3.2016 3.2016
Ru 4.8024 4.8024 4.8024

***

d | 4
Lattice="3.1706 0.0000 0.0000 0.0000 4.1433 0.0000 0.0000 0.0000 5.0568" Properties=species:S:1:pos:R:3 comment="PBE TlPRu2, relaxed" crystal_system=orthorhombic magmom_total_mub_per_atom=0.003 spacegroup="Pmmm (47)" pbc="T T T"
Tl 0.0000 0.0000 0.0000
P 1.5853 0.0000 2.5284
Ru 0.0000 2.0716 2.5284
Ru 1.5853 2.0716 0.0000

***

Short version: b is the most stable of them.

***

a | 4
Lattice="-1.5133 1.8309 6.3154 1.5133 -1.8309 6.3154 1.5133 1.8309 -6.3154" Properties=species:S:1:pos:R:3 comment="PBE UP2Ru, relaxed" crystal_system=orthorhombic magmom_total_mub_per_atom=0.469 spacegroup="Imm2 (44)" pbc="T T T"
U 0.0000 0.0000 0.0000
P 0.0000 0.0000 4.6290
P 0.0000 0.0000 7.8886
Ru 0.0000 1.8309 3.3076

***

b | 4
Lattice="1.9226 1.1100 5.2752 -1.9226 1.1100 5.2752 0.0000 -2.2201 5.2752" Properties=species:S:1:pos:R:3 comment="PBE UP2Ru, relaxed" crystal_system=trigonal magmom_total_mub_per_atom=0.500 spacegroup="R-3m (166)" pbc="T T T"
U 0.0000 0.0000 0.0000
P 0.0000 0.0000 3.6594
P 0.0000 0.0000 12.1661
Ru 0.0000 0.0000 7.9128

***

Short version: b is the most stable of them.

***

a | 8
Lattice="-1.9833 1.9833 8.5669 1.9833 -1.9833 8.5669 1.9833 1.9833 -8.5669" Properties=species:S:1:pos:R:3 comment="PBE UP2Ru, relaxed" crystal_system=tetragonal magmom_total_mub_per_atom=0.000 spacegroup="I4/mmm (139)" pbc="T T T"
U 0.0000 0.0000 1.8795
U 0.0000 0.0000 15.2544
P 1.9833 0.0000 0.0000
P 0.0000 0.0000 5.5989
P 0.0000 1.9833 0.0000
P 0.0000 0.0000 11.5349
Ru 1.9833 0.0000 4.2835
Ru 0.0000 1.9833 4.2835

***

b | 4
Lattice="1.8707 1.0801 5.8459 -1.8707 1.0801 5.8459 0.0000 -2.1601 5.8459" Properties=species:S:1:pos:R:3 comment="PBE UP2Ru, relaxed" crystal_system=trigonal magmom_total_mub_per_atom=0.498 spacegroup="R3m (160)" pbc="T T T"
U 0.0000 0.0000 0.0000
P 0.0000 0.0000 7.5718
P 0.0000 0.0000 9.9750
Ru 0.0000 0.0000 14.3444

***

Short version: a is the most stable of them.